Entry 1:
Entry from Alexandria: a relaxed CoP crystal (PBE-GGA).

Unit cell a=5.7601 b=5.7601 c=5.7601 alpha=109.47 beta=109.47 gamma=109.47
With the nearest neighbours (Å) after each atom.
Positions (direct):
Co 0.0000 0.0000 0.2700  4 P 2.09-2.17
Co 0.0000 0.2700 0.0000  4 P 2.09-2.17
Co 0.2700 0.0000 0.0000  4 P 2.09-2.17
Co 0.7300 0.7300 0.7300  4 P 2.09-2.17
P 0.0000 0.0000 0.6321  4 Co 2.09-2.17
P 0.0000 0.6321 0.0000  4 Co 2.09-2.17
P 0.3679 0.3679 0.3679  4 Co 2.09-2.17
P 0.6321 0.0000 0.0000  4 Co 2.09-2.17

Computed properties:
* total magnetization: 0.0 Bohr magnetons per cell
* formation energy: -0.57 eV per formula unit

***

Entry 2:
Entry from Alexandria: a relaxed CoP crystal (PBE-GGA).

Unit cell a=8.3530 b=8.3530 c=3.3590 alpha=90.00 beta=90.00 gamma=120.00
With the nearest neighbours (Å) after each atom.
Positions (direct):
Co 0.0808 0.6378 0.2500  4 P 2.12-2.21
Co 0.3622 0.4430 0.2500  4 P 2.12-2.21
Co 0.4430 0.0808 0.7500  4 P 2.12-2.21
Co 0.5570 0.9192 0.2500  4 P 2.12-2.21
Co 0.6378 0.5570 0.7500  4 P 2.12-2.21
Co 0.9192 0.3622 0.7500  4 P 2.12-2.21
P 0.0800 0.3730 0.2500  4 Co 2.12-2.21
P 0.2930 0.9200 0.2500  4 Co 2.12-2.21
P 0.3730 0.2930 0.7500  4 Co 2.12-2.21
P 0.6270 0.7070 0.2500  4 Co 2.12-2.21
P 0.7070 0.0800 0.7500  4 Co 2.12-2.21
P 0.9200 0.6270 0.7500  4 Co 2.12-2.21

Computed properties:
* total magnetization: 0.0 Bohr magnetons per cell
* formation energy: -0.57 eV per formula unit